Entry 1:
This record from the Alexandria database describes a relaxed structure of CsAlTe. The functional is PBE.

The structure in CIF format:
```
data_CsAlTe
_chemical_formula_sum 'Cs2 Al2 Te2'
_symmetry_space_group_name_H-M 'P 1'
_symmetry_Int_Tables_number 1
_symmetry_space_group_name_Hall 'P 1'
_cell_length_a 8.0742
_cell_length_b 8.0742
_cell_length_c 7.8755
_cell_angle_alpha 118.39
_cell_angle_beta 118.39
_cell_angle_gamma 37.16
loop_
_atom_site_label
_atom_site_fract_x
_atom_site_fract_y
_atom_site_fract_z
_atom_site_occupancy
Cs1 0.0000 0.0000 0.0000 1
Cs2 0.1862 0.1862 0.6837 1
Al1 0.0936 0.5937 0.2810 1
Al2 0.5937 0.0936 0.2810 1
Te1 0.4798 0.4798 0.6206 1
Te2 0.7018 0.7018 0.3383 1
```

## Properties
Raw formation energy   -520 meV per atom
Symmetry   No. 8
Offset from the most stable computed form   0.009 eV per atom

***

Entry 2:
This record from the Alexandria database describes a relaxed structure of CsAlTe. The functional is PBE.

The structure in CIF format:
```
data_CsAlTe
_chemical_formula_sum 'Cs2 Al2 Te2'
_symmetry_space_group_name_H-M 'P 1'
_symmetry_Int_Tables_number 1
_symmetry_space_group_name_Hall 'P 1'
_cell_length_a 10.3337
_cell_length_b 10.3337
_cell_length_c 5.1920
_cell_angle_alpha 90.16
_cell_angle_beta 90.16
_cell_angle_gamma 27.31
loop_
_atom_site_label
_atom_site_fract_x
_atom_site_fract_y
_atom_site_fract_z
_atom_site_occupancy
Cs1 0.0000 0.0000 0.0000 1
Cs2 0.2040 0.2040 0.5036 1
Al1 0.3639 0.3639 0.9979 1
Al2 0.4168 0.4168 0.4973 1
Te1 0.5473 0.5473 0.5010 1
Te2 0.7916 0.7916 0.0069 1
```

## Properties
Raw formation energy   -474 meV per atom
Symmetry   No. 8
Offset from the most stable computed form   0.056 eV per atom

***

Entry 3:
This record from the Alexandria database describes a relaxed structure of CsAlTe2. The functional is PBE.

The structure in CIF format:
```
data_CsAlTe2
_chemical_formula_sum 'Cs4 Al4 Te8'
_symmetry_space_group_name_H-M 'P 1'
_symmetry_Int_Tables_number 1
_symmetry_space_group_name_Hall 'P 1'
_cell_length_a 8.3213
_cell_length_b 5.6715
_cell_length_c 12.5521
_cell_angle_alpha 90.00
_cell_angle_beta 90.00
_cell_angle_gamma 90.00
loop_
_atom_site_label
_atom_site_fract_x
_atom_site_fract_y
_atom_site_fract_z
_atom_site_occupancy
Cs1 0.1461 0.2500 0.1235 1
Cs2 0.3539 0.7500 0.6235 1
Cs3 0.6461 0.2500 0.3765 1
Cs4 0.8539 0.7500 0.8765 1
Al1 0.0477 0.7500 0.3743 1
Al2 0.4523 0.2500 0.8743 1
Al3 0.5477 0.7500 0.1257 1
Al4 0.9523 0.2500 0.6257 1
Te1 0.1015 0.2500 0.4366 1
Te2 0.1355 0.2500 0.8000 1
Te3 0.3645 0.7500 0.3000 1
Te4 0.3985 0.7500 0.9366 1
Te5 0.6015 0.2500 0.0634 1
Te6 0.6355 0.2500 0.7000 1
Te7 0.8645 0.7500 0.2000 1
Te8 0.8985 0.7500 0.5634 1
```

## Properties
Raw formation energy   -676 meV per atom
Symmetry   No. 62

***

Entry 4:
This record from the Alexandria database describes a relaxed structure of CsAlTe2. The functional is PBE.

The structure in CIF format:
```
data_CsAlTe2
_chemical_formula_sum 'Cs1 Al1 Te2'
_symmetry_space_group_name_H-M 'P 1'
_symmetry_Int_Tables_number 1
_symmetry_space_group_name_Hall 'P 1'
_cell_length_a 10.2749
_cell_length_b 10.2749
_cell_length_c 10.2749
_cell_angle_alpha 25.32
_cell_angle_beta 25.32
_cell_angle_gamma 25.32
loop_
_atom_site_label
_atom_site_fract_x
_atom_site_fract_y
_atom_site_fract_z
_atom_site_occupancy
Cs1 0.0000 0.0000 0.0000 1
Al1 0.4958 0.4958 0.4958 1
Te1 0.4129 0.4129 0.4129 1
Te2 0.8671 0.8671 0.8671 1
```

## Properties
Raw formation energy   -478 meV per atom
Symmetry   No. 160

***

Entry 5:
This record from the Alexandria database describes a relaxed structure of CsAlTe2. The functional is PBE.

The structure in CIF format:
```
data_CsAlTe2
_chemical_formula_sum 'Cs4 Al4 Te8'
_symmetry_space_group_name_H-M 'P 1'
_symmetry_Int_Tables_number 1
_symmetry_space_group_name_Hall 'P 1'
_cell_length_a 7.5595
_cell_length_b 5.8717
_cell_length_c 17.4210
_cell_angle_alpha 90.00
_cell_angle_beta 110.73
_cell_angle_gamma 90.00
loop_
_atom_site_label
_atom_site_fract_x
_atom_site_fract_y
_atom_site_fract_z
_atom_site_occupancy
Cs1 0.1731 0.1535 0.1837 1
Cs2 0.1731 0.3465 0.6837 1
Cs3 0.8269 0.6535 0.3163 1
Cs4 0.8269 0.8465 0.8163 1
Al1 0.4296 0.2027 0.4958 1
Al2 0.4296 0.2973 0.9958 1
Al3 0.5704 0.7027 0.0042 1
Al4 0.5704 0.7973 0.5042 1
Te1 0.0511 0.1731 0.4555 1
Te2 0.0511 0.3269 0.9555 1
Te3 0.3882 0.5155 0.3772 1
Te4 0.3882 0.9845 0.8772 1
Te5 0.6118 0.0155 0.1228 1
Te6 0.6118 0.4845 0.6228 1
Te7 0.9489 0.6731 0.0445 1
Te8 0.9489 0.8269 0.5445 1
```

## Properties
Raw formation energy   -639 meV per atom
Symmetry   No. 14

***

Entry 6:
This record from the Alexandria database describes a relaxed structure of CsAlTe2. The functional is PBE.

The structure in CIF format:
```
data_CsAlTe2
_chemical_formula_sum 'Cs1 Al1 Te2'
_symmetry_space_group_name_H-M 'P 1'
_symmetry_Int_Tables_number 1
_symmetry_space_group_name_Hall 'P 1'
_cell_length_a 4.2355
_cell_length_b 4.2355
_cell_length_c 8.8553
_cell_angle_alpha 90.00
_cell_angle_beta 90.00
_cell_angle_gamma 120.00
loop_
_atom_site_label
_atom_site_fract_x
_atom_site_fract_y
_atom_site_fract_z
_atom_site_occupancy
Cs1 0.0000 0.0000 0.0000 1
Al1 0.0000 0.0000 0.5000 1
Te1 0.3333 0.6667 0.3294 1
Te2 0.6667 0.3333 0.6706 1
```

## Properties
Raw formation energy   -634 meV per atom
Symmetry   No. 164

***

Q: Among the records above, which one has the lowest raw formation energy?
A: number 3

***

Q: Which of these has the lowest raw formation energy?
A: number 3

***

Q: raw formation energy of number 3 (CsAlTe2)?
A: -676 meV per atom